1.
## Pr4HgPBr2 (PBE-GGA)

Data for crystalline Pr4HgPBr2 at its relaxed geometry.

Cell: 4.238 7.612 7.701 Å, 108.17 90.00 90.00°
Fractional positions:
1 Hg 0.000 0.000 0.000
2 Br 0.500 0.000 0.500
3 Br 0.000 0.500 0.500
4 Pr 0.500 0.261 0.230
5 Pr 0.000 0.720 0.215
6 Pr 0.000 0.280 0.785
7 Pr 0.500 0.739 0.770
8 P 0.500 0.500 0.000

Values from the calculation:
Its space group is P2/m, No. 10. The value obtained for the raw formation energy is -1.12 eV per atom.


2.
## YGe2PtC (PBE-GGA)

Data for crystalline YGe2PtC at its relaxed geometry.

Cell: 5.394 4.234 5.394 Å, 90.00 90.00 90.00°
Fractional positions:
1 Ge 0.500 0.000 0.000
2 Ge 0.000 0.000 0.500
3 C 0.000 0.500 0.000
4 Pt 0.500 0.500 0.500
5 Y 0.000 0.000 0.000

Values from the calculation:
Its space group is P4/mmm, No. 123. For the formation energy, the calculation gives 1.65 eV/atom.


3.
## GdMgAu2 (PBE-GGA)

Data for crystalline GdMgAu2 at its relaxed geometry.

Cell: 3.473 3.473 7.014 Å, 90.00 90.00 90.00°
Last column: magnetic moment on the atom in μB.
Fractional positions:
1 Mg 0.500 0.500 0.000  0.00
2 Gd 0.500 0.500 0.500  6.99
3 Au 0.000 0.000 0.774  -0.01
4 Au 0.000 0.000 0.226  -0.01

Values from the calculation:
Its space group is P4/mmm, No. 123. For the formation energy, the calculation gives -0.71 eV/atom.


4.
## K3RuF12 (PBE-GGA)

Data for crystalline K3RuF12 at its relaxed geometry.

Cell: 8.019 8.019 6.803 Å, 88.88 88.88 107.70°
Last column: magnetic moment on the atom in μB.
Fractional positions:
1 F 0.791 0.969 0.832  0.05
2 F 0.788 0.966 0.174  0.05
3 F 0.969 0.791 0.832  0.05
4 F 0.658 0.348 0.879  0.21
5 F 0.966 0.788 0.174  0.05
6 F 0.212 0.034 0.826  0.05
7 F 0.342 0.652 0.121  0.21
8 F 0.034 0.212 0.826  0.05
9 F 0.031 0.209 0.168  0.05
10 F 0.348 0.658 0.879  0.21
11 F 0.209 0.031 0.168  0.05
12 F 0.652 0.342 0.121  0.21
13 K 0.500 0.000 0.000  0.00
14 K 0.000 0.500 0.000  0.00
15 K 0.000 0.000 0.500  0.00
16 Ru 0.000 0.000 0.000  1.39

Values from the calculation:
Its space group is C2/m, No. 12. The value obtained for the raw formation energy is -1.62 eV per atom.


5.
## CdFePt3 (PBE-GGA)

Data for crystalline CdFePt3 at its relaxed geometry.

Cell: 4.632 4.632 4.632 Å, 90.00 90.00 90.00°
Last column: magnetic moment on the atom in μB.
Fractional positions:
1 Cd 0.500 0.500 0.500  0.02
2 Pt 0.000 0.500 0.000  0.32
3 Pt 0.500 0.000 0.000  0.13
4 Pt 0.000 0.000 0.500  0.55
5 Fe 0.000 0.000 0.000  2.79

Values from the calculation:
The value obtained for the energy above the most stable polymorph in this dataset is 0.0 meV/atom. Its space group is Pm-3m, No. 221. For the formation energy, the calculation gives 0.64 eV/atom.


6.
## LaMoIN2 (PBE-GGA)

Data for crystalline LaMoIN2 at its relaxed geometry.

Cell: 4.199 4.199 5.359 Å, 90.00 90.00 90.00°
Fractional positions:
1 I 0.000 0.000 0.500
2 N 0.500 0.000 0.000
3 N 0.000 0.500 0.000
4 La 0.500 0.500 0.500
5 Mo 0.000 0.000 0.000

Values from the calculation:
The value obtained for the energy above the most stable polymorph in this dataset is 0.0 meV/atom. Its space group is P4/mmm, No. 123. The value obtained for the raw formation energy is 0.12 eV per atom.


no.,electronic total energy (eV per atom)
1,-4.64
2,-4.54
3,-6.27
4,-3.80
5,-4.86
6,-6.67